<i>
! GGA-PBE EuIn2Pd, optimized geometry; values from VASP
! Volume in A^3/atom: 24.02
! Magnetization in μB per formula unit: 7.09
&SYSTEM
  ibrav = 0, nat = 8, ntyp = 3
/
ATOMIC_SPECIES
In 114.82 In.upf
Pd 106.42 Pd.upf
Eu 151.96 Eu.upf
ATOMIC_POSITIONS angstrom
In 2.323 1.494 7.463
In -0.511 2.714 3.524
In 2.323 1.494 4.355
In -0.511 2.714 0.416
Pd 3.688 0.906 1.970
Pd -1.876 3.302 5.909
Eu 5.140 0.281 5.909
Eu -3.328 3.927 1.970
CELL_PARAMETERS angstrom
5.795 -0.002 0.000
-3.983 4.210 0.000
0.000 0.000 7.878

=====

<ii>
! GGA-PBE EuIn2Pd, optimized geometry; values from VASP
! Volume in A^3/atom: 23.38
! Magnetization in μB per formula unit: 7.06
&SYSTEM
  ibrav = 0, nat = 4, ntyp = 3
/
ATOMIC_SPECIES
Pd 106.42 Pd.upf
In 114.82 In.upf
Eu 151.96 Eu.upf
ATOMIC_POSITIONS angstrom
Pd -1.703 0.942 -1.475
In -4.498 -1.973 3.933
In -1.107 -0.486 0.968
Eu -4.506 -0.287 0.975
CELL_PARAMETERS angstrom
-1.577 3.061 -0.268
-1.829 -1.177 -2.682
-5.606 -2.458 4.901

=====

Which of them is most stable, and which least? Most stable: <i>; least stable: <ii>.

=====

<i>
! GGA-PBE PmEuIn, optimized geometry; values from VASP
! Volume in A^3/atom: 32.58
! Magnetization in μB per formula unit: 7.86
&SYSTEM
  ibrav = 0, nat = 3, ntyp = 3
/
ATOMIC_SPECIES
Pm 145.00 Pm.upf
Eu 151.96 Eu.upf
In 114.82 In.upf
ATOMIC_POSITIONS angstrom
Pm 0.000 0.000 3.542
Eu 1.906 1.906 6.255
In 1.906 1.906 1.632
CELL_PARAMETERS angstrom
3.813 0.000 0.000
0.000 3.813 0.000
-1.906 -1.906 6.723

=====

<ii>
! GGA-PBE PmEuIn, optimized geometry; values from VASP
! Volume in A^3/atom: 37.23
! Magnetization in μB per formula unit: 7.46
&SYSTEM
  ibrav = 0, nat = 3, ntyp = 3
/
ATOMIC_SPECIES
Eu 151.96 Eu.upf
In 114.82 In.upf
Pm 145.00 Pm.upf
ATOMIC_POSITIONS angstrom
Eu 0.000 0.000 0.000
In 2.703 1.560 1.103
Pm 5.406 3.121 2.207
CELL_PARAMETERS angstrom
5.406 0.000 0.000
2.703 4.681 0.000
2.703 1.560 4.414

=====

Which of them is most stable, and which least? Most stable: <i>; least stable: <ii>.

=====

<i>
! GGA-PBE PrEu2In, optimized geometry; values from VASP
! Volume in A^3/atom: 32.93
! Magnetization in μB per formula unit: 14.46
&SYSTEM
  ibrav = 0, nat = 4, ntyp = 3
/
ATOMIC_SPECIES
Pr 140.91 Pr.upf
In 114.82 In.upf
Eu 151.96 Eu.upf
ATOMIC_POSITIONS angstrom
Pr 2.639 0.000 0.000
In 2.639 2.498 2.498
Eu 0.000 2.498 0.000
Eu 0.000 0.000 2.498
CELL_PARAMETERS angstrom
5.278 0.000 0.000
0.000 4.995 0.000
0.000 0.000 4.995

=====

<ii>
! GGA-PBE PrEu2In, optimized geometry; values from VASP
! Volume in A^3/atom: 34.56
! Magnetization in μB per formula unit: 14.94
&SYSTEM
  ibrav = 0, nat = 4, ntyp = 3
/
ATOMIC_SPECIES
Eu 151.96 Eu.upf
Pr 140.91 Pr.upf
In 114.82 In.upf
ATOMIC_POSITIONS angstrom
Eu 0.258 1.973 6.804
Eu 0.070 0.535 1.845
Pr -0.518 -1.317 5.096
In -0.682 -2.571 0.772
CELL_PARAMETERS angstrom
-3.364 -1.889 0.675
2.001 -3.253 0.868
0.328 2.509 8.650

=====

Which of them is most stable, and which least? Most stable: <i>; least stable: <ii>.

=====

<i>
! GGA-PBE EuPuIn2, optimized geometry; values from VASP
! Volume in A^3/atom: 29.20
! Magnetization in μB per formula unit: 1.21
&SYSTEM
  ibrav = 0, nat = 4, ntyp = 3
/
ATOMIC_SPECIES
Eu 151.96 Eu.upf
Pu 244.00 Pu.upf
In 114.82 In.upf
ATOMIC_POSITIONS angstrom
Eu 0.000 0.000 0.000
Pu 5.487 3.168 2.240
In 8.230 4.752 3.360
In 2.743 1.584 1.120
CELL_PARAMETERS angstrom
5.487 0.000 0.000
2.743 4.752 0.000
2.743 1.584 4.480

=====

<ii>
! GGA-PBE EuPuIn2, optimized geometry; values from VASP
! Volume in A^3/atom: 28.99
! Magnetization in μB per formula unit: 1.25
&SYSTEM
  ibrav = 0, nat = 4, ntyp = 3
/
ATOMIC_SPECIES
In 114.82 In.upf
Eu 151.96 Eu.upf
Pu 244.00 Pu.upf
ATOMIC_POSITIONS angstrom
In -1.794 -2.115 -0.107
In 0.578 -0.624 2.641
Eu -2.597 -1.596 3.107
Pu -1.382 1.143 0.572
CELL_PARAMETERS angstrom
-2.763 2.286 1.145
-3.587 -4.229 -0.214
1.156 -1.248 5.283

=====

Which of them is most stable, and which least? Most stable: <ii>; least stable: <i>.

=====

<i>
! GGA-PBE Eu2InRh, optimized geometry; values from VASP
! Volume in A^3/atom: 26.01
! Magnetization in μB per formula unit: 13.94
&SYSTEM
  ibrav = 0, nat = 4, ntyp = 3
/
ATOMIC_SPECIES
Eu 151.96 Eu.upf
Rh 102.91 Rh.upf
In 114.82 In.upf
ATOMIC_POSITIONS angstrom
Eu 0.000 0.000 6.437
Eu 0.000 0.000 1.722
Rh 1.785 1.785 0.000
In 1.785 1.785 4.079
CELL_PARAMETERS angstrom
3.571 0.000 0.000
0.000 3.571 0.000
0.000 0.000 8.159

=====

<ii>
! GGA-PBE Eu2InRh, optimized geometry; values from VASP
! Volume in A^3/atom: 25.78
! Magnetization in μB per formula unit: 13.79
&SYSTEM
  ibrav = 0, nat = 4, ntyp = 3
/
ATOMIC_SPECIES
In 114.82 In.upf
Eu 151.96 Eu.upf
Rh 102.91 Rh.upf
ATOMIC_POSITIONS angstrom
In 0.000 0.000 0.000
Eu -4.168 -1.618 -8.574
Eu -1.389 -0.539 -2.858
Rh -2.779 -1.079 -5.716
CELL_PARAMETERS angstrom
-2.008 2.276 -4.301
0.596 -2.281 -4.706
-4.146 -2.153 -2.425

=====

Which of them is most stable, and which least? Most stable: <i>; least stable: <ii>.

=====

<i>
! GGA-PBE EuIn2Rh, optimized geometry; values from VASP
! Volume in A^3/atom: 22.64
! Magnetization in μB per formula unit: 7.12
&SYSTEM
  ibrav = 0, nat = 4, ntyp = 3
/
ATOMIC_SPECIES
Eu 151.96 Eu.upf
In 114.82 In.upf
Rh 102.91 Rh.upf
ATOMIC_POSITIONS angstrom
Eu 1.701 1.701 3.912
In 0.000 0.000 1.524
In 0.000 0.000 6.301
Rh 1.701 1.701 0.000
CELL_PARAMETERS angstrom
3.402 0.000 0.000
0.000 3.402 0.000
0.000 0.000 7.825

=====

<ii>
! GGA-PBE EuIn2Rh, optimized geometry; values from VASP
! Volume in A^3/atom: 23.31
! Magnetization in μB per formula unit: 6.90
&SYSTEM
  ibrav = 0, nat = 8, ntyp = 3
/
ATOMIC_SPECIES
Rh 102.91 Rh.upf
In 114.82 In.upf
Eu 151.96 Eu.upf
ATOMIC_POSITIONS angstrom
Rh -0.288 1.272 7.107
Rh -0.440 4.143 0.488
In 0.164 4.145 3.281
In 1.405 5.627 5.985
In -2.132 -0.212 1.610
In -0.891 1.270 4.313
Eu 1.501 7.300 2.980
Eu -2.228 -1.886 4.615
CELL_PARAMETERS angstrom
-0.672 5.051 -2.461
-3.163 -3.348 3.288
3.108 3.711 6.768

=====

Which of them is most stable, and which least? Most stable: <ii>; least stable: <i>.

=====

<i>
! GGA-PBE EuInSb2, optimized geometry; values from VASP
! Volume in A^3/atom: 34.20
! Magnetization in μB per formula unit: 7.64
&SYSTEM
  ibrav = 0, nat = 4, ntyp = 3
/
ATOMIC_SPECIES
Eu 151.96 Eu.upf
In 114.82 In.upf
Sb 121.76 Sb.upf
ATOMIC_POSITIONS angstrom
Eu 0.000 0.000 0.000
In -4.338 1.163 5.198
Sb -4.445 -1.786 5.746
Sb -4.231 4.111 4.651
CELL_PARAMETERS angstrom
-3.011 -2.301 0.932
0.011 -1.957 3.377
-5.676 6.583 6.088

=====

<ii>
! GGA-PBE EuInSb2, optimized geometry; values from VASP
! Volume in A^3/atom: 27.92
! Magnetization in μB per formula unit: 6.94
&SYSTEM
  ibrav = 0, nat = 4, ntyp = 3
/
ATOMIC_SPECIES
Sb 121.76 Sb.upf
Eu 151.96 Eu.upf
In 114.82 In.upf
ATOMIC_POSITIONS angstrom
Sb 0.000 2.427 0.000
Sb 0.000 0.000 2.427
Eu 2.370 2.427 2.427
In 2.370 0.000 0.000
CELL_PARAMETERS angstrom
4.741 0.000 0.000
0.000 4.853 0.000
0.000 0.000 4.853

=====

Which of them is most stable, and which least? Most stable: <ii>; least stable: <i>.

=====

<i>
! GGA-PBE EuIn2Sb, optimized geometry; values from VASP
! Volume in A^3/atom: 27.54
! Magnetization in μB per formula unit: 6.93
&SYSTEM
  ibrav = 0, nat = 4, ntyp = 3
/
ATOMIC_SPECIES
In 114.82 In.upf
Eu 151.96 Eu.upf
Sb 121.76 Sb.upf
ATOMIC_POSITIONS angstrom
In -0.639 -2.112 0.736
In -1.048 -0.393 -2.040
Eu -3.849 -1.530 -0.382
Sb -2.162 0.975 0.922
CELL_PARAMETERS angstrom
-4.323 1.951 1.844
-2.095 -0.787 -4.079
-1.278 -4.225 1.471

=====

<ii>
! GGA-PBE EuIn2Sb, optimized geometry; values from VASP
! Volume in A^3/atom: 32.44
! Magnetization in μB per formula unit: 7.98
&SYSTEM
  ibrav = 0, nat = 4, ntyp = 3
/
ATOMIC_SPECIES
Sb 121.76 Sb.upf
Eu 151.96 Eu.upf
In 114.82 In.upf
ATOMIC_POSITIONS angstrom
Sb -3.733 -1.319 5.853
Eu 0.000 0.000 0.000
In -4.781 -3.563 3.827
In -2.684 0.924 7.880
CELL_PARAMETERS angstrom
-3.436 -1.146 -0.201
-0.836 -3.400 0.949
-3.193 1.909 10.958

=====

Which of them is most stable, and which least? Most stable: <i>; least stable: <ii>.